Entry 1:
Sr4ScAs: relaxed, PBE.

Crystal system   cubic
ΔE_f   0.531 eV/atom
Final energy   -2.4204 eV per atom

Structure (POSCAR):
```
Sr4ScAs
1.0
-6.600 1.359 1.893
-2.805 6.271 -1.341
-4.979 0.636 -4.877
Sr As Sc
4 1 1
direct
0.375 0.875 0.375
0.375 0.375 0.875
0.375 0.375 0.375
0.875 0.375 0.375
0.750 0.750 0.750
0.000 0.000 0.000
```


Entry 2:
SrSc2As: relaxed, PBE.

Crystal system   orthorhombic
ΔE_f   -0.487 eV/atom
Final energy   -5.2356 eV per atom

Structure (POSCAR):
```
SrSc2As
1.0
4.295 0.000 0.000
0.000 4.131 0.045
0.000 1.991 6.427
Sc Sr As
2 1 1
direct
0.500 0.255 0.116
0.000 0.799 0.026
0.000 0.526 0.573
0.500 0.920 0.785
```


Entry 3:
SrSc2As: relaxed, PBE.

Crystal system   tetragonal
ΔE_f   -0.370 eV/atom
Final energy   -5.1182 eV per atom

Structure (POSCAR):
```
SrSc2As
1.0
3.537 0.000 0.000
0.000 3.537 0.000
0.000 0.000 8.829
Sc Sr As
2 1 1
direct
0.000 0.000 0.588
0.000 0.000 0.912
0.500 0.500 0.250
0.500 0.500 0.750
```


Entry 4:
SrSc4As: relaxed, PBE.

Crystal system   cubic
ΔE_f   0.264 eV/atom
Final energy   -5.0125 eV per atom

Structure (POSCAR):
```
SrSc4As
1.0
-5.200 -3.139 1.002
-1.356 -1.981 5.669
-4.607 2.600 3.150
Sc As Sr
4 1 1
direct
0.376 0.873 0.376
0.873 0.376 0.376
0.376 0.376 0.376
0.376 0.376 0.873
0.000 0.000 0.000
0.750 0.750 0.750
```


Entry 5:
SrSc2As: relaxed, PBE.

Crystal system   tetragonal
ΔE_f   -0.195 eV/atom
Final energy   -4.9434 eV per atom

Structure (POSCAR):
```
SrSc2As
1.0
6.171 -0.001 0.000
3.009 5.388 0.000
-4.590 -2.694 3.124
Sc Sr As
2 1 1
direct
0.000 0.000 0.000
0.500 0.500 0.000
0.250 0.750 0.500
0.750 0.250 0.500
```


Entry 6:
SrScTcAs2: relaxed, PBE.

Crystal system   tetragonal
ΔE_f   1.714 eV/atom
Final energy   -3.8219 eV per atom

Structure (POSCAR):
```
SrScTcAs2
1.0
-5.321 1.067 -0.360
-0.436 -3.507 -3.940
-1.033 -3.931 3.614
Tc As Sc Sr
1 2 1 1
direct
0.500 0.500 0.500
0.500 0.000 0.000
0.000 0.000 0.500
0.000 0.500 0.000
0.000 0.000 0.000
```


Entry 7:
Sr2ScTcAs: relaxed, PBE.

Crystal system   tetragonal
ΔE_f   0.423 eV/atom
Final energy   -4.5191 eV per atom

Structure (POSCAR):
```
Sr2ScTcAs
1.0
5.845 0.000 0.000
0.000 4.743 0.000
0.000 0.000 5.845
Sr Tc Sc As
2 1 1 1
direct
0.000 0.000 0.500
0.500 0.000 0.000
0.000 0.000 0.000
0.500 0.500 0.500
0.000 0.500 0.000
```


Entry 8:
SrSc2TeAs: relaxed, PBE.

Crystal system   tetragonal
ΔE_f (raw)   -0.363 eV per atom
Final energy   -4.7903 eV per atom

Structure (POSCAR):
```
SrSc2TeAs
1.0
5.018 0.000 0.000
0.000 6.776 0.000
0.000 0.000 5.018
Sc As Sr Te
2 1 1 1
direct
0.500 0.000 0.000
0.000 0.000 0.500
0.000 0.000 0.000
0.500 0.500 0.500
0.000 0.500 0.000
```


Entry 9:
Sr4Th3ScAs8: relaxed, PBE.

Crystal system   trigonal
ΔE_f   -1.274 eV/atom
Final energy   -5.8057 eV per atom

Structure (POSCAR):
```
Sr4Th3ScAs8
1.0
8.613 0.000 0.000
0.000 8.745 0.086
-4.306 -4.301 6.094
Th As Sc Sr
3 8 1 4
direct
0.000 0.500 0.500
0.500 0.500 0.500
0.500 0.500 0.000
0.236 0.722 0.986
0.743 0.729 0.486
0.257 0.271 0.514
0.764 0.278 0.014
0.764 0.278 0.529
0.236 0.722 0.471
0.249 0.278 0.014
0.751 0.722 0.986
0.000 0.500 0.000
0.500 0.000 0.000
0.000 0.000 0.500
0.000 0.000 0.000
0.500 0.000 0.500
```


Entry 10:
Sr2ThScAs4: relaxed, PBE.

Crystal system   monoclinic
ΔE_f   -1.200 eV/atom
Final energy   -5.6639 eV per atom

Structure (POSCAR):
```
Sr2ThScAs4
1.0
4.287 0.000 0.000
0.000 7.261 0.093
0.000 -2.572 7.131
As Sr Th Sc
4 2 1 1
direct
0.500 0.774 0.785
0.000 0.246 0.777
0.500 0.226 0.215
0.000 0.754 0.223
0.000 0.500 0.500
0.500 0.000 0.500
0.500 0.500 0.000
0.000 0.000 0.000
```


Entry 11:
Sr3Th2ScAs6: relaxed, PBE.

Crystal system   monoclinic
ΔE_f   -1.249 eV/atom
Final energy   -5.7580 eV per atom

Structure (POSCAR):
```
Sr3Th2ScAs6
1.0
-0.701 7.192 1.676
-5.585 -3.611 -3.286
-0.551 -2.960 6.988
As Sc Th Sr
6 1 2 3
direct
0.926 0.604 0.778
0.074 0.396 0.222
0.752 0.752 0.223
0.396 0.074 0.222
0.604 0.926 0.778
0.248 0.248 0.777
0.000 0.000 0.000
0.666 0.334 0.000
0.334 0.666 0.000
0.169 0.831 0.500
0.831 0.169 0.500
0.500 0.500 0.500
```


Entry 12:
SrSc2TiAs: relaxed, PBE.

Crystal system   tetragonal
ΔE_f   0.123 eV/atom
Final energy   -5.2554 eV per atom

Structure (POSCAR):
```
SrSc2TiAs
1.0
5.127 0.000 0.000
0.000 5.810 0.000
0.000 0.000 5.127
As Ti Sc Sr
1 1 2 1
direct
0.000 0.000 0.000
0.500 0.500 0.500
0.500 0.000 0.000
0.000 0.000 0.500
0.000 0.500 0.000
```


Q: Which of these has the highest final energy?
A: Sr4ScAs


Please write out number 6 again, unchanged.
SrScTcAs2: relaxed, PBE.

Crystal system   tetragonal
ΔE_f   1.714 eV/atom
Final energy   -3.8219 eV per atom

Structure (POSCAR):
```
SrScTcAs2
1.0
-5.321 1.067 -0.360
-0.436 -3.507 -3.940
-1.033 -3.931 3.614
Tc As Sc Sr
1 2 1 1
direct
0.500 0.500 0.500
0.500 0.000 0.000
0.000 0.000 0.500
0.000 0.500 0.000
0.000 0.000 0.000
```